# 1
Compound: AgOsAu2
Source: Alexandria via LeMat-Bulk
Functional: PBE
Structure: relaxed

Energy relative to the elements in eV/atom: 0.5363
Space group: C2/m
ΔE to the lowest computed polymorph in meV/atom: 176.7
VASP energy in eV per atom: -4.623
Total moment in μB per cell: 0.0

Cell: 4.9737 4.9737 5.2491 Å, 81.74 81.74 31.85°
Atoms (fractional coordinates):
Au 0.9932 0.9932 0.0075
Au 0.5068 0.5068 0.4925
Ag 0.7500 0.7500 0.7500
Os 0.2500 0.2500 0.2500


# 2
Compound: AgOs2Au
Source: Alexandria via LeMat-Bulk
Functional: PBE
Structure: relaxed

Energy relative to the elements in eV/atom: 0.7352
Space group: Imm2
ΔE to the lowest computed polymorph in meV/atom: 417.6
VASP energy in eV per atom: -6.412
Total moment in μB per cell: 0.0

Cell: 5.6426 5.6426 5.6426 Å, 151.32 129.59 59.03°
Atoms (fractional coordinates):
Au 0.2387 0.7387 0.5000
Ag 0.5091 0.5091 0.0000
Os 0.9816 0.9816 0.0000
Os 0.7706 0.2706 0.5000


# 3
Compound: AgOs2Au
Source: Alexandria via LeMat-Bulk
Functional: PBE
Structure: relaxed

Energy relative to the elements in eV/atom: 0.5410
Space group: Cmm2
ΔE to the lowest computed polymorph in meV/atom: 223.4
VASP energy in eV per atom: -6.606
Total moment in μB per cell: 0.7

Cell: 2.7568 2.7568 9.8904 Å, 90.00 90.00 119.08°
Site moments in Bohr magnetons follow the coordinates.
Atoms (fractional coordinates):
Os 0.5000 0.5000 0.2350  0.34
Os 0.0000 0.0000 0.0169  0.31
Au 0.5000 0.5000 0.7551  -0.01
Ag 0.0000 0.0000 0.4930  0.00


# 4
Compound: AgOs2Au
Source: Alexandria via LeMat-Bulk
Functional: PBE
Structure: relaxed

Energy relative to the elements in eV/atom: 1.4405
Space group: I-42d
ΔE to the lowest computed polymorph in meV/atom: 1122.9
VASP energy in eV per atom: -5.706
Total moment in μB per cell: 2.2

Cell: 7.4410 7.4410 5.8538 Å, 50.54 50.54 90.00°
Site moments in Bohr magnetons follow the coordinates.
Atoms (fractional coordinates):
Os 0.8750 0.8840 0.7500  0.48
Os 0.3750 0.3660 0.7500  0.48
Os 0.6340 0.1250 0.2500  0.48
Os 0.1160 0.6250 0.2500  0.48
Au 0.7500 0.2500 0.5000  0.04
Au 0.0000 0.0000 0.0000  0.04
Ag 0.2500 0.7500 0.5000  0.03
Ag 0.5000 0.5000 0.0000  0.03


# 5
Compound: AgOs2Au
Source: Alexandria via LeMat-Bulk
Functional: PBE
Structure: relaxed

Energy relative to the elements in eV/atom: 0.7208
Space group: Immm
ΔE to the lowest computed polymorph in meV/atom: 403.1
VASP energy in eV per atom: -6.426
Total moment in μB per cell: 0.0

Cell: 5.8399 5.8399 5.8399 Å, 152.32 134.08 54.46°
Atoms (fractional coordinates):
Os 0.4742 0.4742 0.0000
Os 0.0258 0.0258 0.0000
Ag 0.7500 0.2500 0.5000
Au 0.2500 0.7500 0.5000


# 6
Compound: AgOsAu2
Source: Alexandria via LeMat-Bulk
Functional: PBE
Structure: relaxed

Energy relative to the elements in eV/atom: 0.5153
Space group: Imm2
ΔE to the lowest computed polymorph in meV/atom: 155.7
VASP energy in eV per atom: -4.644
Total moment in μB per cell: 0.0

Cell: 5.8053 5.8053 5.8053 Å, 152.80 129.15 58.61°
Atoms (fractional coordinates):
Ag 0.2577 0.7577 0.5000
Au 0.9976 0.9976 0.0000
Au 0.7406 0.2406 0.5000
Os 0.5041 0.5041 0.0000